i) # CsCaTi3

A relaxed structure of CsCaTi3 (PBE-GGA, Alexandria via LeMat-Bulk).

The structure in POSCAR format:
```
CsCaTi3
1.0
5.096 0.000 0.000
0.000 5.096 0.000
0.000 0.000 5.096
Cs Ca Ti
1 1 3
direct
0.000 0.000 0.000 Cs
0.500 0.500 0.500 Ca
0.000 0.000 0.500 Ti
0.000 0.500 0.000 Ti
0.500 0.000 0.000 Ti
```

Calculated values
Space-group type: Pm-3m



ii) # CsCaTi3

A relaxed structure of CsCaTi3 (PBE-GGA, Alexandria via LeMat-Bulk).

The structure in POSCAR format:
```
CsCaTi3
1.0
5.399 0.000 0.000
0.000 5.399 0.000
0.000 0.000 5.399
Cs Ca Ti
1 1 3
direct
0.000 0.000 0.000 Cs
0.500 0.500 0.500 Ca
0.000 0.500 0.500 Ti
0.500 0.000 0.500 Ti
0.500 0.500 0.000 Ti
```

Calculated values
Space-group type: Pm-3m



Stability ranking, top and bottom: i) is the most stable and ii) is the least stable.



i) # CsCaTl2

A relaxed structure of CsCaTl2 (PBE-GGA, Alexandria via LeMat-Bulk).

The structure in POSCAR format:
```
CsCaTl2
1.0
5.983 0.000 0.000
0.000 5.983 0.000
0.000 0.000 22.628
Cs Ca Tl
4 4 8
direct
0.000 0.000 0.000 Cs
0.000 0.500 0.250 Cs
0.500 0.000 0.750 Cs
0.500 0.500 0.500 Cs
0.000 0.000 0.500 Ca
0.000 0.500 0.750 Ca
0.500 0.000 0.250 Ca
0.500 0.500 0.000 Ca
0.084 0.250 0.625 Tl
0.250 0.584 0.875 Tl
0.250 0.916 0.375 Tl
0.416 0.250 0.125 Tl
0.584 0.750 0.125 Tl
0.750 0.084 0.375 Tl
0.750 0.416 0.875 Tl
0.916 0.750 0.625 Tl
```

Calculated values
Space-group type: I-42d



ii) # CsCaTl2

A relaxed structure of CsCaTl2 (PBE-GGA, Alexandria via LeMat-Bulk).

The structure in POSCAR format:
```
CsCaTl2
1.0
3.981 0.000 0.000
-1.991 3.448 0.000
0.000 0.000 33.814
Cs Ca Tl
3 3 6
direct
0.000 0.000 0.000 Cs
0.333 0.667 0.667 Cs
0.667 0.333 0.333 Cs
0.000 0.000 0.500 Ca
0.333 0.667 0.167 Ca
0.667 0.333 0.833 Ca
0.000 0.000 0.239 Tl
0.000 0.000 0.761 Tl
0.333 0.667 0.428 Tl
0.333 0.667 0.905 Tl
0.667 0.333 0.095 Tl
0.667 0.333 0.572 Tl
```

Calculated values
Space-group type: R-3m



iii) # CsCaTl2

A relaxed structure of CsCaTl2 (PBE-GGA, Alexandria via LeMat-Bulk).

The structure in POSCAR format:
```
CsCaTl2
1.0
8.508 0.000 0.000
0.000 8.508 0.000
0.000 0.000 8.508
Cs Ca Tl
4 4 8
direct
0.000 0.000 0.000 Cs
0.000 0.500 0.500 Cs
0.500 0.000 0.500 Cs
0.500 0.500 0.000 Cs
0.000 0.000 0.500 Ca
0.000 0.500 0.000 Ca
0.500 0.000 0.000 Ca
0.500 0.500 0.500 Ca
0.250 0.250 0.250 Tl
0.250 0.250 0.750 Tl
0.250 0.750 0.250 Tl
0.250 0.750 0.750 Tl
0.750 0.250 0.250 Tl
0.750 0.250 0.750 Tl
0.750 0.750 0.250 Tl
0.750 0.750 0.750 Tl
```

Calculated values
Space-group type: Fm-3m



iv) # CsCaTl2

A relaxed structure of CsCaTl2 (PBE-GGA, Alexandria via LeMat-Bulk).

The structure in POSCAR format:
```
CsCaTl2
1.0
4.027 0.000 0.000
0.000 4.027 0.000
0.000 0.000 9.284
Cs Ca Tl
1 1 2
direct
0.000 0.000 0.000 Cs
0.000 0.000 0.500 Ca
0.500 0.500 0.307 Tl
0.500 0.500 0.693 Tl
```

Calculated values
Space-group type: P4/mmm



Stability ranking, top and bottom: iv) is the most stable and i) is the least stable.



i) # CsCa2Tl2

A relaxed structure of CsCa2Tl2 (PBE-GGA, Alexandria via LeMat-Bulk).

The structure in POSCAR format:
```
CsCa2Tl2
1.0
5.881 0.000 0.000
0.000 5.881 0.000
0.000 0.000 11.815
Cs Ca Tl
2 4 4
direct
0.000 0.000 0.000 Cs
0.500 0.500 0.500 Cs
0.000 0.500 0.250 Ca
0.000 0.500 0.750 Ca
0.500 0.000 0.250 Ca
0.500 0.000 0.750 Ca
0.000 0.000 0.378 Tl
0.000 0.000 0.622 Tl
0.500 0.500 0.122 Tl
0.500 0.500 0.878 Tl
```

Calculated values
Space-group type: I4/mmm



ii) # CsCa2Tl2

A relaxed structure of CsCa2Tl2 (PBE-GGA, Alexandria via LeMat-Bulk).

The structure in POSCAR format:
```
CsCa2Tl2
1.0
5.994 0.000 0.000
0.000 5.994 0.000
0.000 0.000 12.723
Cs Ca Tl
2 4 4
direct
0.000 0.000 0.000 Cs
0.500 0.500 0.500 Cs
0.000 0.000 0.342 Ca
0.000 0.000 0.658 Ca
0.500 0.500 0.158 Ca
0.500 0.500 0.842 Ca
0.000 0.500 0.250 Tl
0.000 0.500 0.750 Tl
0.500 0.000 0.250 Tl
0.500 0.000 0.750 Tl
```

Calculated values
Space-group type: I4/mmm



iii) # CsCa2Tl2

A relaxed structure of CsCa2Tl2 (PBE-GGA, Alexandria via LeMat-Bulk).

The structure in POSCAR format:
```
CsCa2Tl2
1.0
9.756 0.000 0.000
0.000 9.756 0.000
0.000 0.000 3.763
Cs Ca Tl
2 4 4
direct
0.000 0.000 0.000 Cs
0.500 0.500 0.000 Cs
0.134 0.366 0.000 Ca
0.366 0.866 0.000 Ca
0.634 0.134 0.000 Ca
0.866 0.634 0.000 Ca
0.159 0.659 0.500 Tl
0.341 0.159 0.500 Tl
0.659 0.841 0.500 Tl
0.841 0.341 0.500 Tl
```

Calculated values
Space-group type: P4/mbm



Stability ranking, top and bottom: iii) is the most stable and ii) is the least stable.



i) # Cs2CaTl2

A relaxed structure of Cs2CaTl2 (PBE-GGA, Alexandria via LeMat-Bulk).

The structure in POSCAR format:
```
Cs2CaTl2
1.0
5.103 0.000 0.000
0.000 5.103 0.000
0.000 0.000 17.653
Cs Ca Tl
4 2 4
direct
0.000 0.500 0.250 Cs
0.000 0.500 0.750 Cs
0.500 0.000 0.250 Cs
0.500 0.000 0.750 Cs
0.000 0.000 0.000 Ca
0.500 0.500 0.500 Ca
0.000 0.000 0.414 Tl
0.000 0.000 0.586 Tl
0.500 0.500 0.086 Tl
0.500 0.500 0.914 Tl
```

Calculated values
Space-group type: I4/mmm



ii) # Cs2CaTl2

A relaxed structure of Cs2CaTl2 (PBE-GGA, Alexandria via LeMat-Bulk).

The structure in POSCAR format:
```
Cs2CaTl2
1.0
8.624 0.000 0.000
0.000 8.624 0.000
0.000 0.000 6.655
Cs Ca Tl
4 2 4
direct
0.182 0.318 0.000 Cs
0.318 0.818 0.000 Cs
0.682 0.182 0.000 Cs
0.818 0.682 0.000 Cs
0.000 0.000 0.500 Ca
0.500 0.500 0.500 Ca
0.126 0.626 0.500 Tl
0.374 0.126 0.500 Tl
0.626 0.874 0.500 Tl
0.874 0.374 0.500 Tl
```

Calculated values
Space-group type: P4/mbm



Stability ranking, top and bottom: ii) is the most stable and i) is the least stable.



i) # Cs2Ca2Zn

A relaxed structure of Cs2Ca2Zn (PBE-GGA, Alexandria via LeMat-Bulk).

The structure in POSCAR format:
```
Cs2Ca2Zn
1.0
8.317 0.000 0.000
0.000 8.317 0.000
0.000 0.000 7.648
Cs Ca Zn
4 4 2
direct
0.182 0.318 0.000 Cs
0.318 0.818 0.000 Cs
0.682 0.182 0.000 Cs
0.818 0.682 0.000 Cs
0.173 0.673 0.500 Ca
0.327 0.173 0.500 Ca
0.673 0.827 0.500 Ca
0.827 0.327 0.500 Ca
0.000 0.000 0.500 Zn
0.500 0.500 0.500 Zn
```

Calculated values
Space-group type: P4/mbm



ii) # Cs2Ca2Zn

A relaxed structure of Cs2Ca2Zn (PBE-GGA, Alexandria via LeMat-Bulk).

The structure in POSCAR format:
```
Cs2Ca2Zn
1.0
5.027 0.000 0.000
0.000 5.027 0.000
0.000 0.000 24.503
Cs Ca Zn
4 4 2
direct
0.000 0.000 0.091 Cs
0.000 0.000 0.909 Cs
0.500 0.500 0.409 Cs
0.500 0.500 0.591 Cs
0.000 0.500 0.250 Ca
0.000 0.500 0.750 Ca
0.500 0.000 0.250 Ca
0.500 0.000 0.750 Ca
0.000 0.000 0.500 Zn
0.500 0.500 0.000 Zn
```

Calculated values
Space-group type: I4/mmm



Stability ranking, top and bottom: i) is the most stable and ii) is the least stable.



i) # CsCaZn3

A relaxed structure of CsCaZn3 (PBE-GGA, Alexandria via LeMat-Bulk).

The structure in POSCAR format:
```
CsCaZn3
1.0
5.978 0.000 0.000
0.000 5.978 0.000
0.000 0.000 5.978
Cs Ca Zn
1 1 3
direct
0.000 0.000 0.000 Cs
0.500 0.500 0.500 Ca
0.000 0.500 0.500 Zn
0.500 0.000 0.500 Zn
0.500 0.500 0.000 Zn
```

Calculated values
Space-group type: Pm-3m



ii) # CsCaZn3

A relaxed structure of CsCaZn3 (PBE-GGA, Alexandria via LeMat-Bulk).

The structure in POSCAR format:
```
CsCaZn3
1.0
6.174 0.000 0.000
0.000 6.174 0.000
0.000 0.000 6.174
Cs Ca Zn
1 1 3
direct
0.000 0.000 0.000 Cs
0.500 0.500 0.500 Ca
0.000 0.000 0.500 Zn
0.000 0.500 0.000 Zn
0.500 0.000 0.000 Zn
```

Calculated values
Space-group type: Pm-3m



Stability ranking, top and bottom: i) is the most stable and ii) is the least stable.